(1)
Below is a geometry-optimized Sr2Hg3Bi2 structure, with properties calculated at the PBE-GGA level.

Computed properties:
spin magnetization = 0.000 μB per cell
formation enthalpy at 0 K = -0.51 eV per atom
polymorph energy (0 for the lowest one) = 0 meV per atom
E = -2.23 eV/atom

a = 5.1638 Å, b = 6.4725 Å, c = 7.1208 Å
α = 89.79°, β = 90.00°, γ = 113.51°
With the nearest neighbours (Å) after each atom.
Positions (direct):
1 Bi 0.1914 0.3827 0.2130  2 Hg 3.08
2 Hg 0.3906 0.7812 0.5936  2 Hg 2.91-3.18, 2 Bi 3.08
3 Sr 0.8922 0.7844 0.2713  7 Hg 3.45-3.78, 5 Bi 3.54-3.80
4 Bi 0.8086 0.6173 0.7870  2 Hg 3.08
5 Sr 0.1078 0.2156 0.7287  7 Hg 3.45-3.78, 5 Bi 3.54-3.80
6 Hg 0.6094 0.2188 0.4064  2 Hg 2.91-3.18, 2 Bi 3.08
7 Hg 0.5000 0.0000 0.0000  2 Hg 3.18, 4 Sr 3.47



(2)
Below is a geometry-optimized Ta2Ga2Hg structure, with properties calculated at the PBE-GGA level.

Computed properties:
spin magnetization = 0.000 μB per cell
formation enthalpy at 0 K = 0.44 eV per atom
polymorph energy (0 for the lowest one) = 222 meV per atom
E = -5.58 eV/atom

a = 4.1139 Å, b = 4.1139 Å, c = 6.5606 Å
α = 71.73°, β = 71.73°, γ = 90.00°
With the nearest neighbours (Å) after each atom.
Positions (direct):
1 Ta 0.7500 0.2500 0.5000  4 Ga 2.70, 4 Ta 2.91
2 Ta 0.2500 0.7500 0.5000  4 Ga 2.70, 4 Ta 2.91
3 Ga 0.6014 0.6014 0.7972  1 Ga 2.39
4 Hg 0.0000 0.0000 0.0000  8 Ga 3.14
5 Ga 0.3986 0.3986 0.2028  1 Ga 2.39



(3)
Below is a geometry-optimized RbTiGa structure, with properties calculated at the PBE-GGA level.

Computed properties:
spin magnetization = 3.486 μB per cell
formation enthalpy at 0 K = 0.63 eV per atom
polymorph energy (0 for the lowest one) = 626 meV per atom
E = -3.33 eV/atom

a = 4.4541 Å, b = 4.4541 Å, c = 12.3222 Å
α = 90.00°, β = 90.00°, γ = 120.00°
With the nearest neighbours (Å) after each atom.
Positions (direct):
1 Rb 0.0000 0.0000 0.0000  6 Ga 4.01, 6 Ti 4.01, 6 Rb 4.45
2 Ga 0.3333 0.6667 0.2500  3 Ti 2.57
3 Rb 0.0000 0.0000 0.5000  6 Ti 4.01, 6 Ga 4.01, 6 Rb 4.45
4 Ga 0.6667 0.3333 0.7500  3 Ti 2.57
5 Ti 0.3333 0.6667 0.7500  3 Ga 2.57
6 Ti 0.6667 0.3333 0.2500  3 Ga 2.57



(4)
Below is a geometry-optimized La4Tb5Th4 structure, with properties calculated at the PBE-GGA level.

Computed properties:
spin magnetization = 0.000 μB per cell
formation enthalpy at 0 K = 0.04 eV per atom
E = -5.54 eV/atom

a = 5.1007 Å, b = 9.5865 Å, c = 9.5865 Å
α = 85.94°, β = 74.57°, γ = 74.57°
With the nearest neighbours (Å) after each atom.
Positions (direct):
1 Th 0.0746 0.5360 0.3149  5 Th 3.49-3.55, 3 Tb 3.55-3.62, 4 La 3.60-3.73
2 Tb 0.3034 0.1606 0.2326  3 Th 3.55-3.62, 5 La 3.58-3.68, 4 Tb 3.65-3.69
3 Th 0.9254 0.4640 0.6851  5 Th 3.49-3.55, 3 Tb 3.55-3.62, 4 La 3.60-3.73
4 Tb 0.0000 0.0000 0.0000  8 Tb 3.65, 4 La 3.66
5 Tb 0.6966 0.8394 0.7674  3 Th 3.55-3.62, 5 La 3.58-3.68, 4 Tb 3.65-3.69
6 Th 0.3894 0.6851 0.5360  5 Th 3.49-3.55, 3 Tb 3.55-3.62, 4 La 3.60-3.73
7 Tb 0.5360 0.7674 0.1606  3 Th 3.55-3.62, 5 La 3.58-3.68, 4 Tb 3.65-3.69
8 La 0.2345 0.6126 0.9185  6 Tb 3.58-3.68, 4 Th 3.60-3.73, 2 La 3.62
9 Th 0.6106 0.3149 0.4640  5 Th 3.49-3.55, 3 Tb 3.55-3.62, 4 La 3.60-3.73
10 Tb 0.4640 0.2326 0.8394  3 Th 3.55-3.62, 5 La 3.58-3.68, 4 Tb 3.65-3.69
11 La 0.7655 0.3874 0.0815  6 Tb 3.58-3.68, 4 Th 3.60-3.73, 2 La 3.62
12 La 0.8471 0.9185 0.3874  6 Tb 3.58-3.68, 4 Th 3.60-3.73, 2 La 3.62
13 La 0.1529 0.0815 0.6126  6 Tb 3.58-3.68, 4 Th 3.60-3.73, 2 La 3.62



(5)
Below is a geometry-optimized Th2ZnGa3Ni12 structure, with properties calculated at the PBE-GGA level.

Computed properties:
spin magnetization = 0.000 μB per cell
formation enthalpy at 0 K = -0.18 eV per atom
E = -5.44 eV/atom

a = 6.4005 Å, b = 6.4005 Å, c = 6.4005 Å
α = 83.29°, β = 83.29°, γ = 83.29°
With the nearest neighbours (Å) after each atom.
Positions (direct):
1 Ni 0.6059 0.1061 0.6059  4 Ni 2.38-2.66, 2 Ga 2.57
2 Ni 0.8066 0.2847 0.8066  5 Ni 2.38-2.66, 1 Zn 2.39, 1 Ga 2.47, 1 Th 2.58
3 Ga 0.0000 0.5000 0.0000  6 Ni 2.47-2.57
4 Ni 0.7153 0.1934 0.1934  5 Ni 2.38-2.66, 1 Zn 2.39, 1 Ga 2.47, 1 Th 2.58
5 Ni 0.1934 0.7153 0.1934  5 Ni 2.38-2.66, 1 Zn 2.39, 1 Ga 2.47, 1 Th 2.58
6 Ni 0.8066 0.8066 0.2847  5 Ni 2.38-2.66, 1 Zn 2.39, 1 Ga 2.47, 1 Th 2.58
7 Ga 0.0000 0.0000 0.5000  6 Ni 2.47-2.57
8 Ga 0.5000 0.0000 0.0000  6 Ni 2.47-2.57
9 Ni 0.3941 0.3941 0.8939  4 Ni 2.38-2.66, 2 Ga 2.57
10 Th 0.6544 0.6544 0.6544  9 Ni 2.58-2.86
11 Ni 0.3941 0.8939 0.3941  4 Ni 2.38-2.66, 2 Ga 2.57
12 Ni 0.1061 0.6059 0.6059  4 Ni 2.38-2.66, 2 Ga 2.57
13 Ni 0.6059 0.6059 0.1061  4 Ni 2.38-2.66, 2 Ga 2.57
14 Th 0.3456 0.3456 0.3456  9 Ni 2.58-2.86
15 Ni 0.2847 0.8066 0.8066  5 Ni 2.38-2.66, 1 Zn 2.39, 1 Ga 2.47, 1 Th 2.58
16 Ni 0.1934 0.1934 0.7153  5 Ni 2.38-2.66, 1 Zn 2.39, 1 Ga 2.47, 1 Th 2.58
17 Ni 0.8939 0.3941 0.3941  4 Ni 2.38-2.66, 2 Ga 2.57
18 Zn 0.0000 0.0000 0.0000  6 Ni 2.39



(6)
Below is a geometry-optimized LiCr2P structure, with properties calculated at the PBE-GGA level.

Computed properties:
spin magnetization = 4.483 μB per cell
formation enthalpy at 0 K = 0.07 eV per atom
E = -6.57 eV/atom

a = 3.9027 Å, b = 3.9027 Å, c = 3.1333 Å
α = 90.00°, β = 90.00°, γ = 90.00°
With the nearest neighbours (Å) after each atom.
Positions (direct):
1 Li 0.5000 0.0000 0.5000  8 Cr 2.50, 4 P 2.76
2 Cr 0.5000 0.5000 0.0000  4 Li 2.50, 4 P 2.50, 4 Cr 2.76
3 P 0.0000 0.5000 0.5000  8 Cr 2.50, 4 Li 2.76
4 Cr 0.0000 0.0000 0.0000  4 Li 2.50, 4 P 2.50, 4 Cr 2.76



(7)
Below is a geometry-optimized CaNbCoP2 structure, with properties calculated at the PBE-GGA level.

Computed properties:
spin magnetization = 0.111 μB per cell
formation enthalpy at 0 K = -0.75 eV per atom
E = -6.75 eV/atom

a = 3.8773 Å, b = 3.8773 Å, c = 6.4860 Å
α = 107.39°, β = 107.39°, γ = 90.00°
With the nearest neighbours (Å) after each atom.
Positions (direct):
1 Ca 0.0000 0.0000 0.0000  8 P 3.12
2 P 0.6271 0.6271 0.2541  2 Nb 2.42, 2 Co 2.42
3 Nb 0.2500 0.7500 0.5000  4 P 2.42
4 Co 0.7500 0.2500 0.5000  4 P 2.42
5 P 0.3729 0.3729 0.7459  2 Nb 2.42, 2 Co 2.42



(8)
Below is a geometry-optimized Be2Al2GaCu5 structure, with properties calculated at the PBE-GGA level.

Computed properties:
spin magnetization = 0.000 μB per cell
formation enthalpy at 0 K = -0.06 eV per atom
E = -3.91 eV/atom

a = 3.6551 Å, b = 8.2219 Å, c = 8.2219 Å
α = 90.00°, β = 90.00°, γ = 90.00°
With the nearest neighbours (Å) after each atom.
Positions (direct):
1 Be 0.0000 0.6125 0.8875  6 Cu 2.25-2.37, 3 Al 2.43-2.46
2 Cu 0.5000 0.4224 0.2924  2 Be 2.37, 4 Cu 2.49-2.58, 2 Ga 2.58
3 Be 0.0000 0.1125 0.6125  6 Cu 2.25-2.37, 3 Al 2.43-2.46
4 Al 0.0000 0.3211 0.8211  3 Be 2.43-2.46
5 Cu 0.5000 0.5000 0.0000  4 Be 2.25, 4 Cu 2.49
6 Cu 0.5000 0.9224 0.2076  2 Be 2.37, 4 Cu 2.49-2.58, 2 Ga 2.58
7 Cu 0.5000 0.7924 0.9224  2 Be 2.37, 4 Cu 2.49-2.58, 2 Ga 2.58
8 Cu 0.5000 0.7076 0.4224  2 Be 2.37, 4 Cu 2.49-2.58, 2 Ga 2.58
9 Cu 0.5000 0.2924 0.5776  2 Be 2.37, 4 Cu 2.49-2.58, 2 Ga 2.58
10 Al 0.0000 0.1789 0.3211  3 Be 2.43-2.46
11 Cu 0.5000 0.0776 0.7924  2 Be 2.37, 4 Cu 2.49-2.58, 2 Ga 2.58
12 Be 0.0000 0.3875 0.1125  6 Cu 2.25-2.37, 3 Al 2.43-2.46
13 Ga 0.0000 0.5000 0.5000  8 Cu 2.58
14 Be 0.0000 0.8875 0.3875  6 Cu 2.25-2.37, 3 Al 2.43-2.46
15 Cu 0.5000 0.5776 0.7076  2 Be 2.37, 4 Cu 2.49-2.58, 2 Ga 2.58
16 Al 0.0000 0.8211 0.6789  3 Be 2.43-2.46
17 Cu 0.5000 0.0000 0.5000  4 Be 2.25, 4 Cu 2.49
18 Al 0.0000 0.6789 0.1789  3 Be 2.43-2.46
19 Cu 0.5000 0.2076 0.0776  2 Be 2.37, 4 Cu 2.49-2.58, 2 Ga 2.58
20 Ga 0.0000 0.0000 0.0000  8 Cu 2.58



(9)
Below is a geometry-optimized Pm9In3O2 structure, with properties calculated at the PBE-GGA level.

Computed properties:
spin magnetization = 0.000 μB per cell
ΔE_f (raw) = -1.048 eV per atom
E = -5.40 eV/atom

a = 7.0364 Å, b = 7.0364 Å, c = 8.6265 Å
α = 90.00°, β = 90.00°, γ = 120.00°
With the nearest neighbours (Å) after each atom.
Positions (direct):
1 In 0.0000 0.0000 0.0000  12 Pm 3.52
2 In 0.6667 0.3333 0.6670  12 Pm 3.52-3.53
3 Pm 0.8312 0.1688 0.3309  1 O 2.49
4 Pm 0.0000 0.5000 0.0000  2 O 2.45
5 Pm 0.1688 0.8312 0.6691  1 O 2.49
6 Pm 0.5000 0.0000 0.0000  2 O 2.45
7 Pm 0.8312 0.6623 0.3309  1 O 2.49
8 In 0.3333 0.6667 0.3330  12 Pm 3.52-3.53
9 Pm 0.1688 0.3377 0.6691  1 O 2.49
10 O 0.6667 0.3333 0.1593  6 Pm 2.45-2.49
11 Pm 0.3377 0.1688 0.3309  1 O 2.49
12 O 0.3333 0.6667 0.8407  6 Pm 2.45-2.49
13 Pm 0.6623 0.8312 0.6691  1 O 2.49
14 Pm 0.5000 0.5000 0.0000  2 O 2.45



(10)
Below is a geometry-optimized HoEr8Tm5 structure, with properties calculated at the PBE-GGA level.

Computed properties:
spin magnetization = 0.000 μB per cell
formation enthalpy at 0 K = 0.26 eV per atom
E = -4.27 eV/atom

a = 8.3084 Å, b = 8.3083 Å, c = 8.3084 Å
α = 110.96°, β = 106.53°, γ = 110.96°
With the nearest neighbours (Å) after each atom.
Positions (direct):
1 Er 0.1619 0.7380 0.0802  4 Tm 3.07-3.39, 1 Ho 3.20
2 Tm 0.8128 0.6783 0.7146  8 Er 3.28-3.47, 2 Tm 3.50
3 Tm 0.8655 0.9018 0.1873  8 Er 3.28-3.47, 2 Tm 3.50
4 Tm 0.0363 0.3217 0.1345  8 Er 3.28-3.47, 2 Tm 3.50
5 Er 0.5248 0.6058 0.2709  5 Tm 3.26-3.47, 3 Er 3.52-3.57
6 Er 0.0810 0.7461 0.4752  5 Tm 3.26-3.47, 3 Er 3.52-3.57
7 Ho 0.2500 0.5000 0.7500  4 Er 3.20
8 Er 0.6651 0.3942 0.9190  5 Tm 3.26-3.47, 3 Er 3.52-3.57
9 Tm 0.2854 0.0982 0.9637  8 Er 3.28-3.47, 2 Tm 3.50
10 Tm 0.5000 0.0000 0.5000  8 Er 3.07-3.26
11 Er 0.3422 0.2620 0.4239  4 Tm 3.07-3.39, 1 Ho 3.20
12 Er 0.5761 0.9183 0.8381  4 Tm 3.07-3.39, 1 Ho 3.20
13 Er 0.9198 0.0817 0.6578  4 Tm 3.07-3.39, 1 Ho 3.20
14 Er 0.7291 0.2539 0.3349  5 Tm 3.26-3.47, 3 Er 3.52-3.57



(11)
Below is a geometry-optimized La2CdPd9 structure, with properties calculated at the PBE-GGA level.

Computed properties:
spin magnetization = 0.000 μB per cell
formation enthalpy at 0 K = -0.51 eV per atom
polymorph energy (0 for the lowest one) = 97 meV per atom
E = -5.30 eV/atom

a = 5.4086 Å, b = 5.4086 Å, c = 9.5932 Å
α = 73.63°, β = 73.63°, γ = 60.00°
With the nearest neighbours (Å) after each atom.
Positions (direct):
1 Pd 0.6670 0.6670 0.9989  6 Pd 2.75-2.78
2 Pd 0.4148 0.9184 0.2520  7 Pd 2.69-2.78
3 Pd 0.0816 0.5852 0.7480  7 Pd 2.69-2.78
4 Pd 0.4148 0.4148 0.2520  7 Pd 2.69-2.78
5 Pd 0.3330 0.3330 0.0011  6 Pd 2.75-2.78
6 Pd 0.5852 0.5852 0.7480  7 Pd 2.69-2.78
7 Cd 0.0000 0.0000 0.0000  6 Pd 3.12
8 La 0.1338 0.1338 0.5986  9 Pd 3.02-3.25
9 Pd 0.5000 0.5000 0.5000  6 Pd 2.74
10 Pd 0.5852 0.0816 0.7480  7 Pd 2.69-2.78
11 La 0.8662 0.8662 0.4014  9 Pd 3.02-3.25
12 Pd 0.9184 0.4148 0.2520  7 Pd 2.69-2.78



(12)
Below is a geometry-optimized BaAs3Pd structure, with properties calculated at the PBE-GGA level.

Computed properties:
spin magnetization = 0.000 μB per cell
formation enthalpy at 0 K = -0.57 eV per atom
polymorph energy (0 for the lowest one) = 0 meV per atom
E = -4.78 eV/atom

a = 5.8558 Å, b = 6.8858 Å, c = 6.4507 Å
α = 89.99°, β = 89.98°, γ = 90.00°
With the nearest neighbours (Å) after each atom.
Positions (direct):
1 As 0.4778 0.8450 0.4624  1 As 2.51, 2 Pd 2.54-2.60
2 Pd 0.6487 0.5963 0.2009  5 As 2.51-2.60
3 As 0.9778 0.5077 0.9624  1 As 2.51, 2 Pd 2.54-2.60
4 As 0.4778 0.8447 0.9391  1 As 2.51, 2 Pd 2.54-2.60
5 As 0.9779 0.5081 0.4391  1 As 2.51, 2 Pd 2.54-2.60
6 As 0.7898 0.9554 0.7007  2 As 2.51, 1 Pd 2.51
7 Pd 0.1487 0.7565 0.7009  5 As 2.51-2.60
8 As 0.2899 0.3973 0.2008  2 As 2.51, 1 Pd 2.51
9 Ba 0.9839 0.9953 0.2006  8 As 3.30-3.69, 1 Pd 3.38
10 Ba 0.4840 0.3575 0.7008  9 As 3.30-3.69, 1 Pd 3.38